Entry 1:
VASP calculation (PBE) on a geometry-optimized Rb2PuI2Cl4 structure.

abc: 7.943 7.943 7.943
angles: 120.73 120.73 88.75
Fractional positions:
Rb 0.250 0.750 0.500
Rb 0.750 0.250 0.500
Pu 0.000 0.000 0.000
I 0.266 0.266 0.000
I 0.734 0.734 0.000
Cl 0.233 0.233 0.465
Cl 0.233 0.767 0.000
Cl 0.767 0.233 0.000
Cl 0.767 0.767 0.535

Calculated values
Energy (eV per formula unit): -41.379


Entry 2:
VASP calculation (PBE) on a geometry-optimized RbPuICl2 structure.

abc: 5.556 5.556 6.513
angles: 90.00 90.00 90.00
Fractional positions:
Rb 0.000 0.000 0.000
Pu 0.500 0.500 0.368
I 0.500 0.500 0.856
Cl 0.000 0.500 0.318
Cl 0.500 0.000 0.318

Calculated values
Energy (eV per formula unit): -28.556


Entry 3:
VASP calculation (PBE) on a geometry-optimized PuTl2I4Cl2 structure.

abc: 8.102 8.102 7.566
angles: 111.07 111.07 62.58
Fractional positions:
Pu 0.000 0.000 0.000
Tl 0.270 0.270 0.781
Tl 0.730 0.730 0.219
I 0.174 0.669 0.191
I 0.331 0.826 0.809
I 0.669 0.174 0.191
I 0.826 0.331 0.809
Cl 0.182 0.182 0.298
Cl 0.818 0.818 0.702

Calculated values
Energy (eV per formula unit): -37.851


Entry 4:
VASP calculation (PBE) on a geometry-optimized PuTl2I3Cl3 structure.

abc: 8.979 8.979 4.129
angles: 90.00 90.00 120.00
Fractional positions:
Pu 0.000 0.000 0.000
Tl 0.333 0.667 0.500
Tl 0.667 0.333 0.500
I 0.000 0.390 0.000
I 0.390 0.000 0.000
I 0.610 0.610 0.000
Cl 0.000 0.786 0.500
Cl 0.214 0.214 0.500
Cl 0.786 0.000 0.500

Calculated values
Energy (eV per formula unit): -38.687


Entry 5:
VASP calculation (PBE) on a geometry-optimized RbICl6 structure.

abc: 6.758 6.758 6.725
angles: 102.76 102.76 103.33
Fractional positions:
Rb 0.000 0.000 0.000
I 0.500 0.500 0.500
Cl 0.218 0.218 0.553
Cl 0.218 0.549 0.218
Cl 0.451 0.782 0.782
Cl 0.549 0.218 0.218
Cl 0.782 0.451 0.782
Cl 0.782 0.782 0.447

Calculated values
Energy (eV per formula unit): -18.490


Entry 6:
VASP calculation (PBE) on a geometry-optimized Rb2ICl4 structure.

abc: 9.530 5.373 11.628
angles: 90.00 106.34 90.00
Fractional positions:
Rb 0.059 0.250 0.182
Rb 0.432 0.750 0.811
Rb 0.568 0.250 0.189
Rb 0.941 0.750 0.818
I 0.123 0.250 0.641
I 0.877 0.750 0.359
Cl 0.143 0.750 0.348
Cl 0.255 0.501 0.008
Cl 0.255 0.999 0.008
Cl 0.393 0.250 0.641
Cl 0.607 0.750 0.359
Cl 0.745 0.001 0.992
Cl 0.745 0.499 0.992
Cl 0.857 0.250 0.652

Calculated values
Energy (eV per formula unit): -18.794
E above lowest polymorph (meV per atom): 0.0


Entry 7:
VASP calculation (PBE) on a geometry-optimized Rb6ICl4 structure.

abc: 8.445 8.445 25.025
angles: 90.00 90.00 146.75
Fractional positions:
Rb 0.000 0.000 0.000
Rb 0.000 0.000 0.500
Rb 0.173 0.827 0.750
Rb 0.273 0.727 0.079
Rb 0.273 0.727 0.421
Rb 0.469 0.531 0.659
Rb 0.469 0.531 0.841
Rb 0.531 0.469 0.159
Rb 0.531 0.469 0.341
Rb 0.727 0.273 0.579
Rb 0.727 0.273 0.921
Rb 0.827 0.173 0.250
I 0.143 0.857 0.250
I 0.857 0.143 0.750
Cl 0.097 0.903 0.616
Cl 0.097 0.903 0.884
Cl 0.364 0.636 0.543
Cl 0.364 0.636 0.957
Cl 0.636 0.364 0.043
Cl 0.636 0.364 0.457
Cl 0.903 0.097 0.116
Cl 0.903 0.097 0.384

Calculated values
Energy (eV per formula unit): -32.671


Entry 8:
VASP calculation (PBE) on a geometry-optimized Rb3I2Cl structure.

abc: 8.943 8.943 8.943
angles: 147.47 131.85 59.32
Fractional positions:
Rb 0.000 0.000 0.000
Rb 0.351 0.351 0.000
Rb 0.649 0.649 0.000
I 0.171 0.671 0.500
I 0.829 0.329 0.500
Cl 0.500 0.000 0.500

Calculated values
Energy (eV per formula unit): -17.625


Entry 9:
VASP calculation (PBE) on a geometry-optimized Rb2ICl structure.

abc: 8.771 8.771 8.771
angles: 33.00 33.00 33.00
Fractional positions:
Rb 0.241 0.241 0.241
Rb 0.759 0.759 0.759
I 0.000 0.000 0.000
Cl 0.500 0.500 0.500

Calculated values
Energy (eV per formula unit): -12.158
E above lowest polymorph (meV per atom): 0.0


Entry 10:
VASP calculation (PBE) on a geometry-optimized Rb2ICl6 structure.

abc: 7.800 7.800 6.881
angles: 108.41 108.41 54.74
Fractional positions:
Rb 0.227 0.227 0.217
Rb 0.773 0.773 0.783
I 0.500 0.500 0.000
Cl 0.205 0.700 0.207
Cl 0.273 0.273 0.729
Cl 0.300 0.795 0.793
Cl 0.700 0.205 0.207
Cl 0.727 0.727 0.271
Cl 0.795 0.300 0.793

Calculated values
Energy (eV per formula unit): -22.999


Entry 11:
VASP calculation (PBE) on a geometry-optimized Rb8ICl6 structure.

abc: 12.378 12.378 4.921
angles: 90.00 90.00 120.00
Fractional positions:
Rb 0.038 0.339 0.244
Rb 0.300 0.962 0.244
Rb 0.333 0.667 0.752
Rb 0.339 0.300 0.756
Rb 0.661 0.700 0.244
Rb 0.667 0.333 0.248
Rb 0.700 0.038 0.756
Rb 0.962 0.661 0.756
I 0.000 0.000 0.000
Cl 0.135 0.658 0.255
Cl 0.342 0.477 0.255
Cl 0.477 0.135 0.745
Cl 0.523 0.865 0.255
Cl 0.658 0.523 0.745
Cl 0.865 0.342 0.745

Calculated values
Energy (eV per formula unit): -45.160


Entry 12:
VASP calculation (PBE) on a geometry-optimized Rb6I2Cl3 structure.

abc: 8.588 8.588 8.758
angles: 99.42 99.42 120.00
Fractional positions:
Rb 0.092 0.421 0.776
Rb 0.237 0.237 0.224
Rb 0.421 0.092 0.776
Rb 0.579 0.908 0.224
Rb 0.763 0.763 0.776
Rb 0.908 0.579 0.224
I 0.333 0.667 0.500
I 0.667 0.333 0.500
Cl 0.167 0.833 0.000
Cl 0.500 0.500 0.000
Cl 0.833 0.167 0.000

Calculated values
Energy (eV per formula unit): -31.567


Entry 13:
VASP calculation (PBE) on a geometry-optimized Rb2ICl structure.

abc: 6.055 6.055 6.055
angles: 60.00 60.00 60.00
Fractional positions:
Rb 0.250 0.250 0.250
Rb 0.750 0.750 0.750
I 0.000 0.000 0.000
Cl 0.500 0.500 0.500

Calculated values
Energy (eV per formula unit): -11.845
E above lowest polymorph (meV per atom): 78.3


Entry 14:
VASP calculation (PBE) on a geometry-optimized Rb5ICl6 structure.

abc: 8.275 8.275 8.144
angles: 95.71 95.71 119.06
Fractional positions:
Rb 0.000 0.000 0.000
Rb 0.212 0.788 0.500
Rb 0.338 0.662 0.000
Rb 0.662 0.338 0.000
Rb 0.788 0.212 0.500
I 0.500 0.500 0.500
Cl 0.031 0.384 0.216
Cl 0.294 0.294 0.701
Cl 0.384 0.031 0.216
Cl 0.616 0.969 0.784
Cl 0.706 0.706 0.299
Cl 0.969 0.616 0.784

Calculated values
Energy (eV per formula unit): -36.632


Entry 15:
VASP calculation (PBE) on a geometry-optimized Rb2I2Cl structure.

abc: 9.985 9.985 9.985
angles: 151.24 151.24 41.13
Fractional positions:
Rb 0.103 0.103 0.000
Rb 0.897 0.897 0.000
I 0.250 0.750 0.500
I 0.750 0.250 0.500
Cl 0.500 0.500 0.000

Calculated values
Energy (eV per formula unit): -12.525
E above lowest polymorph (meV per atom): 44.2


Entry 16:
VASP calculation (PBE) on a geometry-optimized RbICl2 structure.

abc: 10.434 10.434 10.434
angles: 148.03 148.03 45.84
Fractional positions:
Rb 0.000 0.000 0.000
Rb 0.750 0.250 0.500
I 0.250 0.750 0.500
I 0.500 0.500 0.000
Cl 0.203 0.625 0.078
Cl 0.375 0.453 0.578
Cl 0.547 0.125 0.922
Cl 0.875 0.797 0.422

Calculated values
Energy (eV per formula unit): -9.281


Entry 17:
VASP calculation (PBE) on a geometry-optimized Rb2ICl4 structure.

abc: 9.512 9.512 9.512
angles: 145.74 145.74 49.23
Fractional positions:
Rb 0.139 0.139 0.000
Rb 0.861 0.861 0.000
I 0.500 0.500 0.000
Cl 0.000 0.500 0.500
Cl 0.325 0.325 0.000
Cl 0.500 0.000 0.500
Cl 0.675 0.675 0.000

Calculated values
Energy (eV per formula unit): -18.108
E above lowest polymorph (meV per atom): 98.0


Entry 18:
VASP calculation (PBE) on a geometry-optimized Rb2I2Cl7 structure.

abc: 7.293 7.293 7.918
angles: 94.68 94.68 98.76
Fractional positions:
Rb 0.243 0.757 0.000
Rb 0.757 0.243 0.000
I 0.277 0.277 0.539
I 0.723 0.723 0.461
Cl 0.000 0.000 0.500
Cl 0.126 0.437 0.258
Cl 0.277 0.277 0.852
Cl 0.437 0.126 0.258
Cl 0.563 0.874 0.742
Cl 0.723 0.723 0.148
Cl 0.874 0.563 0.742

Calculated values
Energy (eV per formula unit): -25.198
E above lowest polymorph (meV per atom): 149.1


Entry 19:
VASP calculation (PBE) on a geometry-optimized Rb5I2Cl2 structure.

abc: 10.226 10.226 10.699
angles: 90.00 90.00 52.14
Fractional positions:
Rb 0.000 0.000 0.000
Rb 0.008 0.731 0.675
Rb 0.231 0.508 0.175
Rb 0.269 0.992 0.675
Rb 0.492 0.769 0.175
Rb 0.500 0.500 0.500
Rb 0.508 0.231 0.825
Rb 0.731 0.008 0.325
Rb 0.769 0.492 0.825
Rb 0.992 0.269 0.325
I 0.199 0.199 0.000
I 0.301 0.301 0.500
I 0.699 0.699 0.500
I 0.801 0.801 0.000
Cl 0.141 0.859 0.288
Cl 0.359 0.641 0.788
Cl 0.641 0.359 0.212
Cl 0.859 0.141 0.712

Calculated values
Energy (eV per formula unit): -24.317


Entry 20:
VASP calculation (PBE) on a geometry-optimized Rb2I2Cl structure.

abc: 19.762 19.762 19.762
angles: 165.48 165.48 20.59
Fractional positions:
Rb 0.072 0.322 0.750
Rb 0.322 0.072 0.250
Rb 0.678 0.928 0.750
Rb 0.928 0.678 0.250
I 0.214 0.464 0.750
I 0.464 0.214 0.250
I 0.536 0.786 0.750
I 0.786 0.536 0.250
Cl 0.125 0.875 0.250
Cl 0.875 0.125 0.750

Calculated values
Energy (eV per formula unit): -12.746
E above lowest polymorph (meV per atom): 0.0